KAs2P at its PBEsol-relaxed geometry. Source: Alexandria, functional meta-GGA SCAN.

a b c (Å): 3.156 3.156 8.705
angles (deg): 90.00 90.00 90.00
Space group P4mm (No. 99)
Unique sites:
K1 0.000 0.000 0.000
As1 0.000 0.000 0.415
As2 0.500 0.500 0.704
P1 0.500 0.500 0.284

Results
Energy relative to the elements (eV/atom): 0.21
Energy (eV per atom): -14.568

---

KAsP4 at its PBEsol-relaxed geometry. Source: Alexandria, functional meta-GGA SCAN.

a b c (Å): 7.878 7.878 7.878
angles (deg): 90.00 90.00 90.00
Space group F-43m (No. 216)
Unique sites:
K1 0.000 0.000 0.000
As1 0.250 0.250 0.750
P1 0.101 0.101 0.399

Results
Energy relative to the elements (eV/atom): 0.31
Energy (eV per atom): -11.374